[1]
InH3O3 | PBEsol | relaxed

Results
* D(E_F): 0.000 states/eV/atom
* SG: R-3 (148)
* total DFT energy (no corrections): -5.384 eV/atom
* total magnetic moment: 0.000 μB/atom

Cell: 6.8255 6.8255 6.8255 Å, 109.31 109.31 109.31°
Fractional coordinates of all 28 atoms:
O1 0.5081 0.8367 0.6693
O2 0.3307 0.4919 0.1633
O3 0.8345 0.3259 0.1598
O4 0.4919 0.1633 0.3307
O5 0.6741 0.8402 0.1655
O6 0.8367 0.6693 0.5081
O7 0.3259 0.1598 0.8345
O8 0.8402 0.1655 0.6741
O9 0.6693 0.5081 0.8367
O10 0.1598 0.8345 0.3259
O11 0.1633 0.3307 0.4919
O12 0.1655 0.6741 0.8402
H1 0.9632 0.3175 0.2818
H2 0.3175 0.2818 0.9632
H3 0.8271 0.5411 0.3702
H4 0.2818 0.9632 0.3175
H5 0.6825 0.7182 0.0368
H6 0.5411 0.3702 0.8271
H7 0.7182 0.0368 0.6825
H8 0.3702 0.8271 0.5411
H9 0.1729 0.4589 0.6298
H10 0.4589 0.6298 0.1729
H11 0.0368 0.6825 0.7182
H12 0.6298 0.1729 0.4589
In1 0.5000 0.0000 0.0000
In2 0.0000 0.0000 0.5000
In3 0.0000 0.5000 0.0000
In4 0.5000 0.5000 0.5000

---

[2]
InH3O3 | PBEsol | relaxed

Results
* D(E_F): 0.000 states/eV/atom
* SG: P1 (1)
* total DFT energy (no corrections): -5.339 eV/atom
* total magnetic moment: 0.001 μB/atom

Cell: 6.8734 6.8347 6.9050 Å, 109.82 107.67 111.01°
Fractional coordinates of all 28 atoms:
In1 0.5136 0.0029 0.9954
In2 0.9959 0.4820 0.9967
In3 0.0033 0.9994 0.4992
In4 0.5001 0.4982 0.4971
H1 0.4678 0.1676 0.6302
H2 0.0393 0.3502 0.3179
H3 0.0381 0.6865 0.6505
H4 0.7228 0.6811 0.0410
H5 0.6343 0.4630 0.1734
H6 0.2866 0.3165 0.9640
H7 0.9151 0.7156 0.8221
H8 0.3049 0.9606 0.2577
H9 0.8263 0.2757 0.4525
H10 0.1863 0.6882 0.5036
H11 0.3784 0.5413 0.8372
H12 0.6994 0.9780 0.6723
O1 0.5150 0.6706 0.8405
O2 0.8496 0.5466 0.7018
O3 0.8422 0.6768 0.1681
O4 0.1693 0.8071 0.6368
O5 0.1719 0.4891 0.3234
O6 0.1724 0.3264 0.8382
O7 0.4990 0.3298 0.1676
O8 0.6676 0.1598 0.8278
O9 0.3395 0.1611 0.4971
O10 0.8436 0.1656 0.3318
O11 0.2747 0.8363 0.1036
O12 0.7244 0.8469 0.5662

---

[3]
RbInPHO5 | PBEsol | relaxed

Results
* D(E_F): 0.000 states/eV/atom
* SG: P4_32_12 (96)
* total DFT energy (no corrections): -6.315 eV/atom
* total magnetic moment: 0.000 μB/atom

Cell: 9.3787 9.3787 11.2568 Å, 90.00 90.00 90.00°
Fractional coordinates of all 72 atoms:
O1 0.7780 0.5383 0.2819
O2 0.2530 0.7196 0.3882
O3 0.6983 0.2885 0.3920
O4 0.3017 0.7115 0.8920
O5 0.9490 0.0106 0.8734
O6 0.6686 0.0055 0.7571
O7 0.4894 0.4490 0.6234
O8 0.7530 0.7804 0.8618
O9 0.7804 0.7530 0.1382
O10 0.2470 0.2196 0.3618
O11 0.2804 0.7470 0.1118
O12 0.4490 0.4894 0.3766
O13 0.0510 0.9894 0.3734
O14 0.7470 0.2804 0.8882
O15 0.4945 0.1686 0.5071
O16 0.5510 0.5106 0.8766
O17 0.9894 0.0510 0.6266
O18 0.8314 0.5055 0.9929
O19 0.2780 0.9617 0.9681
O20 0.9617 0.2780 0.0319
O21 0.9945 0.3314 0.7429
O22 0.1686 0.4945 0.4929
O23 0.2115 0.1983 0.1420
O24 0.5055 0.8314 0.0071
O25 0.7220 0.0383 0.4681
O26 0.2885 0.6983 0.6080
O27 0.2196 0.2470 0.6382
O28 0.1983 0.2115 0.8580
O29 0.5383 0.7780 0.7181
O30 0.7885 0.8017 0.6420
O31 0.7196 0.2530 0.6118
O32 0.3314 0.9945 0.2571
O33 0.7115 0.3017 0.1080
O34 0.5106 0.5510 0.1234
O35 0.0055 0.6686 0.2429
O36 0.0106 0.9490 0.1266
O37 0.0383 0.7220 0.5319
O38 0.8017 0.7885 0.3580
O39 0.2220 0.4617 0.7819
O40 0.4617 0.2220 0.2181
Rb1 0.6838 0.0188 0.2087
Rb2 0.0188 0.6838 0.7913
Rb3 0.8162 0.5188 0.5413
Rb4 0.3162 0.9812 0.7087
Rb5 0.4812 0.1838 0.9587
Rb6 0.1838 0.4812 0.0413
Rb7 0.9812 0.3162 0.2913
Rb8 0.5188 0.8162 0.4587
In1 0.4061 0.5939 0.7500
In2 0.8457 0.1543 0.7500
In3 0.1543 0.8457 0.2500
In4 0.9061 0.9061 0.5000
In5 0.0939 0.0939 0.0000
In6 0.6543 0.6543 0.0000
In7 0.3457 0.3457 0.5000
In8 0.5939 0.4061 0.2500
H1 0.6233 0.4401 0.8513
H2 0.3767 0.5599 0.3513
H3 0.8767 0.9401 0.8987
H4 0.0599 0.1233 0.6013
H5 0.1233 0.0599 0.3987
H6 0.5599 0.3767 0.6487
H7 0.4401 0.6233 0.1487
H8 0.9401 0.8767 0.1013
P1 0.8140 0.3421 0.0044
P2 0.3421 0.8140 0.9956
P3 0.3140 0.1579 0.2456
P4 0.1579 0.3140 0.7544
P5 0.1860 0.6579 0.5044
P6 0.8421 0.6860 0.2544
P7 0.6860 0.8421 0.7456
P8 0.6579 0.1860 0.4956

---

[4]
In2H10S3O17 | PBEsol | relaxed

Results
* D(E_F): 0.000 states/eV/atom
* SG: P-1 (2)
* total DFT energy (no corrections): -5.722 eV/atom
* total magnetic moment: 0.000 μB/atom

Cell: 5.6864 10.7850 11.4072 Å, 88.92 89.03 78.58°
Fractional coordinates of all 64 atoms:
O1 0.7502 0.1074 0.8793
O2 0.3412 0.3037 0.5673
O3 0.8858 0.0065 0.3204
O4 0.5193 0.9728 0.7493
O5 0.7728 0.7007 0.8662
O6 0.3920 0.5342 0.6139
O7 0.2498 0.8926 0.1207
O8 0.8408 0.8411 0.5411
O9 0.4041 0.3100 0.9367
O10 0.9695 0.3418 0.9670
O11 0.1461 0.3683 0.3800
O12 0.7788 0.1088 0.1325
O13 0.0950 0.6576 0.4513
O14 0.2272 0.2993 0.1338
O15 0.3699 0.7867 0.6892
O16 0.3306 0.9050 0.4291
O17 0.8539 0.6317 0.6200
O18 0.1142 0.9935 0.6796
O19 0.6588 0.6963 0.4327
O20 0.3548 0.5504 0.8795
O21 0.4807 0.0272 0.2507
O22 0.0305 0.6582 0.0330
O23 0.5959 0.6900 0.0633
O24 0.1592 0.1589 0.4589
O25 0.6452 0.4496 0.1205
O26 0.6301 0.2133 0.3108
O27 0.6694 0.0950 0.5709
O28 0.6080 0.4658 0.3861
O29 0.2164 0.5813 0.2365
O30 0.7692 0.8661 0.0069
O31 0.9050 0.3424 0.5487
O32 0.2308 0.1339 0.9931
O33 0.2212 0.8912 0.8675
O34 0.7836 0.4187 0.7635
H1 0.6343 0.1837 0.9084
H2 0.7678 0.3989 0.0664
H3 0.8771 0.3836 0.8349
H4 0.2878 0.5869 0.5543
H5 0.1411 0.6179 0.3117
H6 0.3769 0.4436 0.6039
H7 0.3969 0.9535 0.3646
H8 0.6231 0.5564 0.3961
H9 0.3480 0.9465 0.1612
H10 0.6031 0.0465 0.6354
H11 0.3747 0.4573 0.9000
H12 0.7122 0.4131 0.4457
H13 0.6520 0.0535 0.8388
H14 0.6253 0.5427 0.1000
H15 0.8589 0.3821 0.6883
H16 0.2322 0.6011 0.9336
H17 0.5650 0.1813 0.5619
H18 0.4350 0.8187 0.4381
H19 0.3657 0.8163 0.0916
H20 0.1229 0.6164 0.1651
S1 0.7926 0.7271 0.9928
S2 0.8615 0.7063 0.5096
S3 0.3090 0.9123 0.7468
S4 0.2074 0.2729 0.0072
S5 0.1385 0.2937 0.4904
S6 0.6910 0.0877 0.2532
In1 0.0000 0.0000 0.5000
In2 0.0000 0.0000 0.0000
In3 0.5793 0.6081 0.7473
In4 0.4207 0.3919 0.2527

---

[5]
InHSeO4 | PBEsol | relaxed

Results
* D(E_F): 0.000 states/eV/atom
* SG: P-1 (2)
* total DFT energy (no corrections): -5.596 eV/atom
* total magnetic moment: 0.000 μB/atom

Cell: 5.6455 8.0679 8.1031 Å, 87.19 79.81 82.89°
Fractional coordinates of all 28 atoms:
In1 0.3894 0.9757 0.8135
In2 0.1954 0.3146 0.5117
In3 0.8046 0.6854 0.4883
In4 0.6106 0.0243 0.1865
O1 0.6512 0.1482 0.7046
O2 0.9790 0.7797 0.6814
O3 0.3390 0.1400 0.0338
O4 0.3417 0.4282 0.7038
O5 0.8603 0.1836 0.0363
O6 0.6583 0.5718 0.2962
O7 0.1397 0.8164 0.9637
O8 0.8550 0.8896 0.3234
O9 0.5126 0.2246 0.3516
O10 0.1450 0.1104 0.6766
O11 0.0210 0.2203 0.3186
O12 0.1730 0.5658 0.3859
O13 0.3488 0.8518 0.2954
O14 0.8270 0.4342 0.6141
O15 0.4874 0.7754 0.6484
O16 0.6610 0.8600 0.9662
H1 0.9762 0.0821 0.6940
H2 0.6670 0.2482 0.3817
H3 0.0238 0.9179 0.3060
H4 0.3330 0.7518 0.6183
Se1 0.9279 0.7243 0.8894
Se2 0.6050 0.3514 0.7691
Se3 0.3950 0.6486 0.2309
Se4 0.0721 0.2757 0.1106

---

[6]
In2HOs | PBEsol | relaxed

Results
* D(E_F): 0.719 states/eV/atom
* SG: Fm-3m (225)
* total DFT energy (no corrections): -4.538 eV/atom
* total magnetic moment: 0.175 μB/atom

Cell: 4.4924 4.4924 4.4924 Å, 60.00 60.00 60.00°
Each line ends with the local moment (μB).
Fractional coordinates of all 4 atoms:
In1 0.7500 0.7500 0.7500  0.01
In2 0.2500 0.2500 0.2500  0.01
H1 0.0000 0.0000 0.0000  0.18
Os1 0.5000 0.5000 0.5000  0.26

---

[7]
InH2Os | PBEsol | relaxed

Results
* D(E_F): 0.360 states/eV/atom
* SG: I4_1/amd (141)
* total DFT energy (no corrections): -4.979 eV/atom
* total magnetic moment: 0.000 μB/atom

Cell: 3.8954 3.8954 6.4838 Å, 107.48 107.48 90.00°
Fractional coordinates of all 8 atoms:
H1 0.1250 0.8750 0.7500
H2 0.1250 0.8750 0.2500
H3 0.6250 0.8750 0.7500
H4 0.1250 0.3750 0.2500
Os1 0.2500 0.7500 0.5000
Os2 0.0000 0.0000 0.0000
In1 0.7500 0.2500 0.5000
In2 0.5000 0.5000 0.0000

---

[8]
InH2Pb2 | PBEsol | relaxed

Results
* D(E_F): 0.295 states/eV/atom
* SG: I4/mmm (139)
* total DFT energy (no corrections): -3.201 eV/atom
* total magnetic moment: 0.000 μB/atom

Cell: 3.6280 3.6280 7.5730 Å, 103.86 103.86 90.00°
Fractional coordinates of all 5 atoms:
H1 0.7500 0.2500 0.5000
H2 0.2500 0.7500 0.5000
Pb1 0.6477 0.6477 0.2955
Pb2 0.3523 0.3523 0.7045
In1 0.0000 0.0000 0.0000

---

[9]
InH3Pd | PBEsol | relaxed

Results
* D(E_F): 0.267 states/eV/atom
* SG: Pm-3m (221)
* total DFT energy (no corrections): -3.640 eV/atom
* total magnetic moment: 0.000 μB/atom

Cell: 3.6945 3.6945 3.6945 Å, 90.00 90.00 90.00°
Fractional coordinates of all 5 atoms:
H1 0.0000 0.5000 0.0000
H2 0.0000 0.0000 0.5000
H3 0.5000 0.0000 0.0000
Pd1 0.0000 0.0000 0.0000
In1 0.5000 0.5000 0.5000

---

[10]
InH2Pd | PBEsol | relaxed

Results
* D(E_F): 0.367 states/eV/atom
* SG: Fm-3m (225)
* total DFT energy (no corrections): -3.346 eV/atom
* total magnetic moment: 0.000 μB/atom

Cell: 3.9421 3.9421 3.9421 Å, 60.00 60.00 60.00°
Fractional coordinates of all 4 atoms:
In1 0.5000 0.5000 0.5000
H1 0.2500 0.2500 0.2500
H2 0.7500 0.7500 0.7500
Pd1 0.0000 0.0000 0.0000

---

[11]
InTeHPd2 | PBEsol | relaxed

Results
* D(E_F): 0.348 states/eV/atom
* SG: P4/mmm (123)
* total DFT energy (no corrections): -4.263 eV/atom
* total magnetic moment: 0.000 μB/atom

Cell: 3.6256 5.0270 5.0270 Å, 90.00 90.00 90.00°
Fractional coordinates of all 5 atoms:
Te1 0.0000 0.0000 0.0000
H1 0.5000 0.0000 0.0000
Pd1 0.0000 0.5000 0.0000
Pd2 0.0000 0.0000 0.5000
In1 0.5000 0.5000 0.5000

---

[12]
InHPt2 | PBEsol | relaxed

Results
* D(E_F): 0.600 states/eV/atom
* SG: Fm-3m (225)
* total DFT energy (no corrections): -4.729 eV/atom
* total magnetic moment: 0.032 μB/atom

Cell: 4.3274 4.3274 4.3274 Å, 60.00 60.00 60.00°
Fractional coordinates of all 4 atoms:
In1 0.5000 0.5000 0.5000
Pt1 0.7500 0.7500 0.7500
Pt2 0.2500 0.2500 0.2500
H1 0.0000 0.0000 0.0000

---

Number 10 is which compound? InH2Pd